# 1
A relaxed Pm6PrSm2Y3 crystal. Source: Alexandria, functional PBE.

Values from the calculation:
space-group type: C2/m
size of the total moment: 0.00 μB/cell
crystal system: monoclinic
ΔH_f (0 K): 0.01 eV/atom

```
Pm6PrSm2Y3
1.0
-0.883 -6.037 -1.575
0.277 1.665 6.071
-11.503 3.150 -1.427
Pm Pr Sm Y
6 1 2 3
direct
0.916 0.582 0.748 Pm
0.751 0.751 0.253 Pm
0.084 0.418 0.252 Pm
0.582 0.916 0.748 Pm
0.249 0.249 0.747 Pm
0.418 0.084 0.252 Pm
0.000 0.000 0.000 Pr
0.333 0.667 0.000 Sm
0.667 0.333 0.000 Sm
0.167 0.833 0.500 Y
0.833 0.167 0.500 Y
0.500 0.500 0.500 Y
```

# 2
A relaxed Pm3PrSm2Y6 crystal. Source: Alexandria, functional PBE.

Values from the calculation:
space-group type: C2/m
size of the total moment: 0.00 μB/cell
crystal system: monoclinic
ΔH_f (0 K): 0.01 eV/atom

```
Pm3PrSm2Y6
1.0
6.269 0.000 0.007
-3.133 5.430 0.007
-1.053 -1.823 11.694
Pm Pr Sm Y
3 1 2 6
direct
0.167 0.833 0.500 Pm
0.833 0.167 0.500 Pm
0.500 0.500 0.500 Pm
0.000 0.000 0.000 Pr
0.333 0.667 0.000 Sm
0.667 0.333 0.000 Sm
0.916 0.583 0.750 Y
0.750 0.750 0.250 Y
0.084 0.417 0.250 Y
0.583 0.916 0.750 Y
0.250 0.250 0.750 Y
0.417 0.084 0.250 Y
```